1.
A relaxed CsTcO2 crystal, computed with PBE.

Cell and atoms, written as POSCAR:
```
CsTcO2
1.0
-4.609 -2.118 6.108
-5.131 -4.684 3.843
-2.358 -4.741 5.916
Cs Tc O
1 1 2
direct
0.500 0.500 0.500 Cs
0.000 0.000 0.000 Tc
0.923 0.923 0.923 O
0.077 0.077 0.077 O
```

Results
ΔE to the lowest computed polymorph	21.18	kJ per mole of atoms
uncorrected formation energy	-3.21	eV/f.u.
electronic total energy	-0.4474	Ry per atom

=====

2.
A relaxed CsTcO3 crystal, computed with PBE.

Cell and atoms, written as POSCAR:
```
CsTcO3
1.0
5.357 0.000 0.000
0.000 8.727 0.747
0.000 -2.045 7.265
Cs Tc O
4 4 12
direct
0.827 0.650 0.190 Cs
0.173 0.350 0.810 Cs
0.327 0.350 0.310 Cs
0.673 0.650 0.690 Cs
0.248 0.939 0.573 Tc
0.752 0.061 0.427 Tc
0.748 0.061 0.927 Tc
0.252 0.939 0.073 Tc
0.070 0.956 0.328 O
0.930 0.044 0.672 O
0.570 0.044 0.172 O
0.430 0.956 0.828 O
0.585 0.875 0.448 O
0.415 0.125 0.552 O
0.085 0.125 0.052 O
0.915 0.875 0.948 O
0.181 0.736 0.546 O
0.819 0.264 0.454 O
0.681 0.264 0.954 O
0.319 0.736 0.046 O
```

Results
uncorrected formation energy	-7.30	eV/f.u.
electronic total energy	-0.4909	Ry per atom

=====

3.
A relaxed Cs2TcO6 crystal, computed with PBE.

Cell and atoms, written as POSCAR:
```
Cs2TcO6
1.0
-4.399 1.220 -0.260
-1.486 -5.911 -2.595
1.768 0.182 7.028
Cs Tc O
2 1 6
direct
0.673 0.668 0.336 Cs
0.327 0.332 0.664 Cs
0.000 0.000 0.000 Tc
0.113 0.302 0.216 O
0.887 0.086 0.784 O
0.887 0.698 0.784 O
0.500 0.104 0.000 O
0.113 0.914 0.216 O
0.500 0.896 0.000 O
```

Results
uncorrected formation energy	-8.26	eV/f.u.
electronic total energy	-0.4090	Ry per atom

=====

4.
A relaxed CsTc3O crystal, computed with PBE.

Cell and atoms, written as POSCAR:
```
CsTc3O
1.0
-2.909 0.258 -4.094
-1.900 -4.532 1.065
-3.635 2.163 2.719
Cs Tc O
1 3 1
direct
0.000 0.000 0.000 Cs
0.000 0.500 0.000 Tc
0.000 0.000 0.500 Tc
0.500 0.000 0.000 Tc
0.500 0.500 0.500 O
```

Results
ΔE to the lowest computed polymorph	215.52	kJ per mole of atoms
uncorrected formation energy	17.96	eV/f.u.
electronic total energy	-0.2786	Ry per atom

=====

5.
A relaxed Cs5TcO6 crystal, computed with PBE.

Cell and atoms, written as POSCAR:
```
Cs5TcO6
1.0
6.621 -0.589 -1.207
-4.279 6.391 -1.910
0.050 -0.442 7.051
Cs Tc O
5 1 6
direct
0.342 0.842 0.685 Cs
0.668 0.668 0.336 Cs
0.000 0.500 0.000 Cs
0.332 0.332 0.664 Cs
0.658 0.158 0.315 Cs
0.000 0.000 0.000 Tc
0.107 0.282 0.222 O
0.115 0.940 0.222 O
0.347 0.168 0.000 O
0.653 0.832 0.000 O
0.885 0.060 0.778 O
0.893 0.718 0.778 O
```

Results
uncorrected formation energy	-16.90	eV/f.u.
electronic total energy	-0.3754	Ry per atom

=====

6.
A relaxed Cs3TcO6 crystal, computed with PBE.

Cell and atoms, written as POSCAR:
```
Cs3TcO6
1.0
-0.554 0.139 -6.923
-4.368 -4.137 -3.022
-5.610 2.463 -2.790
Cs Tc O
3 1 6
direct
0.264 0.244 0.244 Cs
0.736 0.756 0.756 Cs
0.000 0.000 0.000 Cs
0.500 0.500 0.500 Tc
0.353 0.262 0.659 O
0.647 0.341 0.738 O
0.647 0.738 0.341 O
0.353 0.659 0.262 O
0.245 0.688 0.688 O
0.755 0.312 0.312 O
```

Results
uncorrected formation energy	-12.11	eV/f.u.
electronic total energy	-0.4027	Ry per atom

=====

- What is the formula in the fifth record?
  Cs5TcO6